Computed, not measured: a relaxed structure of ScCuReSn at the PBE level of DFT.

Computed properties:
V: 68.2 Å³/f.u.
Energy relative to the lowest polymorph listed for this composition: 0 meV/atom
E: -6.54 eV per atom

a b c (Å): 4.5864 4.5864 4.5864
angles (deg): 60.00 60.00 60.00
Last column: nearest neighbours and their distance in Å.
Atoms (fractional coordinates):
Cu1 0.7500 0.7500 0.7500  4 Sn 2.81, 4 Sc 2.81
Re1 0.2500 0.2500 0.2500  4 Sc 2.81, 4 Sn 2.81
Sc1 0.5000 0.5000 0.5000  4 Re 2.81, 4 Cu 2.81
Sn1 0.0000 0.0000 0.0000  4 Cu 2.81, 4 Re 2.81

Computed, not measured: a relaxed structure of ScCuReTc at the PBE level of DFT.

Computed properties:
V: 60.4 Å³/f.u.
Energy relative to the lowest polymorph listed for this composition: 0 meV/atom
E_form: -0.030 eV per atom
E: -8.24 eV per atom

a b c (Å): 4.4042 4.4042 4.4042
angles (deg): 60.00 60.00 60.00
Last column: nearest neighbours and their distance in Å.
Atoms (fractional coordinates):
Cu1 0.7500 0.7500 0.7500  4 Tc 2.70, 4 Sc 2.70
Re1 0.2500 0.2500 0.2500  4 Sc 2.70, 4 Tc 2.70
Sc1 0.5000 0.5000 0.5000  4 Re 2.70, 4 Cu 2.70
Tc1 0.0000 0.0000 0.0000  4 Cu 2.70, 4 Re 2.70

Computed, not measured: a relaxed structure of ScCuReTc at the PBE level of DFT.

Computed properties:
V: 60.3 Å³/f.u.
Energy relative to the lowest polymorph listed for this composition: 1 meV/atom
E_form: -0.029 eV per atom
E: -8.24 eV per atom

a b c (Å): 4.4017 4.4017 4.4017
angles (deg): 60.00 60.00 60.00
Last column: nearest neighbours and their distance in Å.
Atoms (fractional coordinates):
Cu1 0.7500 0.7500 0.7500  4 Sc 2.70, 4 Re 2.70
Re1 0.0000 0.0000 0.0000  4 Tc 2.70, 4 Cu 2.70
Sc1 0.5000 0.5000 0.5000  4 Cu 2.70, 4 Tc 2.70
Tc1 0.2500 0.2500 0.2500  4 Re 2.70, 4 Sc 2.70

Computed, not measured: a relaxed structure of ScTlCuRe at the PBE level of DFT.

Computed properties:
V: 71.0 Å³/f.u.
Energy relative to the lowest polymorph listed for this composition: 0 meV/atom
E: -5.76 eV per atom

a b c (Å): 4.6481 4.6481 4.6481
angles (deg): 60.00 60.00 60.00
Last column: nearest neighbours and their distance in Å.
Atoms (fractional coordinates):
Cu1 0.7500 0.7500 0.7500  4 Tl 2.85, 4 Sc 2.85
Re1 0.2500 0.2500 0.2500  4 Sc 2.85, 4 Tl 2.85
Sc1 0.5000 0.5000 0.5000  4 Re 2.85, 4 Cu 2.85
Tl1 0.0000 0.0000 0.0000  4 Re 2.85, 4 Cu 2.85

Computed, not measured: a relaxed structure of CuRe3Se5 at the PBE level of DFT.

Computed properties:
V: 198.8 Å³/f.u.
E: -6.03 eV per atom

a b c (Å): 5.6336 5.6336 7.2328
angles (deg): 90.00 90.00 120.00
Last column: nearest neighbours and their distance in Å.
Atoms (fractional coordinates):
Cu1 0.0000 0.0000 0.0000  14 Se 3.62-3.66
Re1 0.5000 0.0000 0.5000  6 Se 2.53-2.82, 4 Re 2.82
Re2 0.0000 0.5000 0.5000  6 Se 2.53-2.82, 4 Re 2.82
Re3 0.5000 0.5000 0.5000  6 Se 2.53-2.82, 4 Re 2.82
Se1 0.6667 0.3333 0.2321  3 Re 2.53
Se2 0.3333 0.6667 0.2321  3 Re 2.53
Se3 0.0000 0.0000 0.5000  6 Re 2.82
Se4 0.6667 0.3333 0.7679  3 Re 2.53
Se5 0.3333 0.6667 0.7679  3 Re 2.53

Computed, not measured: a relaxed structure of Cu3ReSe4 at the PBE level of DFT.

Computed properties:
V: 170.5 Å³/f.u.
E: -4.74 eV per atom

a b c (Å): 6.6951 6.6951 6.6951
angles (deg): 130.30 130.30 72.93
Last column: nearest neighbours and their distance in Å.
Atoms (fractional coordinates):
Cu1 0.5000 0.5000 0.0000  4 Se 2.43
Cu2 0.7500 0.2500 0.5000  4 Se 2.41
Cu3 0.2500 0.7500 0.5000  4 Se 2.41
Re1 0.0000 0.0000 0.0000  4 Se 2.37
Se1 0.6300 0.1213 0.0000  1 Re 2.37, 3 Cu 2.41-2.43
Se2 0.1213 0.6300 0.0000  1 Re 2.37, 3 Cu 2.41-2.43
Se3 0.3700 0.3700 0.4913  1 Re 2.37, 3 Cu 2.41-2.43
Se4 0.8787 0.8787 0.5087  1 Re 2.37, 3 Cu 2.41-2.43

Question: Number 3 is which compound?
Answer: ScCuReTc

What did the fourth record say?
Computed, not measured: a relaxed structure of ScTlCuRe at the PBE level of DFT.

Computed properties:
V: 71.0 Å³/f.u.
Energy relative to the lowest polymorph listed for this composition: 0 meV/atom
E: -5.76 eV per atom

a b c (Å): 4.6481 4.6481 4.6481
angles (deg): 60.00 60.00 60.00
Last column: nearest neighbours and their distance in Å.
Atoms (fractional coordinates):
Cu1 0.7500 0.7500 0.7500  4 Tl 2.85, 4 Sc 2.85
Re1 0.2500 0.2500 0.2500  4 Sc 2.85, 4 Tl 2.85
Sc1 0.5000 0.5000 0.5000  4 Re 2.85, 4 Cu 2.85
Tl1 0.0000 0.0000 0.0000  4 Re 2.85, 4 Cu 2.85

Repeat the fifth record exactly.
Computed, not measured: a relaxed structure of CuRe3Se5 at the PBE level of DFT.

Computed properties:
V: 198.8 Å³/f.u.
E: -6.03 eV per atom

a b c (Å): 5.6336 5.6336 7.2328
angles (deg): 90.00 90.00 120.00
Last column: nearest neighbours and their distance in Å.
Atoms (fractional coordinates):
Cu1 0.0000 0.0000 0.0000  14 Se 3.62-3.66
Re1 0.5000 0.0000 0.5000  6 Se 2.53-2.82, 4 Re 2.82
Re2 0.0000 0.5000 0.5000  6 Se 2.53-2.82, 4 Re 2.82
Re3 0.5000 0.5000 0.5000  6 Se 2.53-2.82, 4 Re 2.82
Se1 0.6667 0.3333 0.2321  3 Re 2.53
Se2 0.3333 0.6667 0.2321  3 Re 2.53
Se3 0.0000 0.0000 0.5000  6 Re 2.82
Se4 0.6667 0.3333 0.7679  3 Re 2.53
Se5 0.3333 0.6667 0.7679  3 Re 2.53